1.
The following is a SCAN calculation of a crystal of La2SiHg relaxed with PBEsol, from Alexandria via LeMat-Bulk.

Magnetic moment ... 0.0 μB per formula unit
SG ... I-4m2, No. 119
VASP energy ... -41.616 eV per atom

Cell lengths 4.455, 4.455, 5.985 Å; angles 111.85, 111.85, 90.00 degrees
Fractional coordinates of all 4 atoms:
Si 0.500 0.500 0.000
Hg 0.250 0.750 0.500
La 0.750 0.250 0.500
La 0.000 0.000 0.000

2.
The following is a SCAN calculation of a crystal of CaMoSCl2 relaxed with PBEsol, from Alexandria via LeMat-Bulk.

Magnetic moment ... 4.0 μB per formula unit
SG ... P4/mmm, No. 123
VASP energy ... -14.483 eV per atom

Cell lengths 4.963, 4.963, 5.421 Å; angles 90.00, 90.00, 90.00 degrees
Site moments in Bohr magnetons follow the coordinates.
Fractional coordinates of all 5 atoms:
Cl 0.000 0.500 0.000  0.00
Cl 0.500 0.000 0.000  0.00
Mo 0.500 0.500 0.500  3.99
S 0.000 0.000 0.500  -0.28
Ca 0.000 0.000 0.000  0.00

3.
The following is a SCAN calculation of a crystal of SbCSe2 relaxed with PBEsol, from Alexandria via LeMat-Bulk.

Distance to the lowest polymorph of the same formula ... 0.739 eV/atom
Magnetic moment ... 0.2 μB per formula unit
SG ... Fm-3m, No. 225
VASP energy ... -20.210 eV per atom

Cell lengths 4.680, 4.680, 4.680 Å; angles 60.00, 60.00, 60.00 degrees
Site moments in Bohr magnetons follow the coordinates.
Fractional coordinates of all 4 atoms:
Se 0.750 0.750 0.750  -0.10
Se 0.250 0.250 0.250  -0.10
C 0.000 0.000 0.000  0.25
Sb 0.500 0.500 0.500  0.02

4.
The following is a SCAN calculation of a crystal of BaCoSO relaxed with PBEsol, from Alexandria via LeMat-Bulk.

Magnetic moment ... 3.0 μB per formula unit
SG ... Cmcm, No. 63
VASP energy ... -19.926 eV per atom

Cell lengths 3.895, 6.017, 6.542 Å; angles 90.00, 107.32, 90.00 degrees
Site moments in Bohr magnetons follow the coordinates.
Fractional coordinates of all 8 atoms:
S 0.184 0.750 0.368  0.11
S 0.816 0.250 0.632  0.11
O 0.500 0.000 0.000  0.22
O 0.500 0.500 0.000  0.22
Ba 0.884 0.750 0.767  0.00
Ba 0.116 0.250 0.233  0.00
Co 0.408 0.250 0.817  2.47
Co 0.592 0.750 0.183  2.47

5.
The following is a SCAN calculation of a crystal of MgTc2P relaxed with PBEsol, from Alexandria via LeMat-Bulk.

Distance to the lowest polymorph of the same formula ... 0.333 eV/atom
Magnetic moment ... 0.0 μB per formula unit
SG ... Cmm2, No. 35
VASP energy ... -21.190 eV per atom

Cell lengths 2.752, 2.752, 8.418 Å; angles 90.00, 90.00, 112.67 degrees
Fractional coordinates of all 4 atoms:
P 0.500 0.500 0.228
Tc 0.000 0.000 0.013
Tc 0.500 0.500 0.762
Mg 0.000 0.000 0.497

6.
The following is a SCAN calculation of a crystal of Ba2ZrAu relaxed with PBEsol, from Alexandria via LeMat-Bulk.

Distance to the lowest polymorph of the same formula ... 0.257 eV/atom
Magnetic moment ... 3.2 μB per formula unit
SG ... I-4m2, No. 119
VASP energy ... -44.439 eV per atom

Cell lengths 4.719, 4.719, 6.360 Å; angles 111.78, 111.78, 90.00 degrees
Site moments in Bohr magnetons follow the coordinates.
Fractional coordinates of all 4 atoms:
Au 0.250 0.750 0.500  0.04
Ba 0.750 0.250 0.500  0.20
Ba 0.000 0.000 0.000  0.24
Zr 0.500 0.500 0.000  1.35

7.
The following is a SCAN calculation of a crystal of Mg2FeWO6 relaxed with PBEsol, from Alexandria via LeMat-Bulk.

Distance to the lowest polymorph of the same formula ... 0.000 eV/atom
Magnetic moment ... 4.0 μB per formula unit
SG ... R3, No. 146
VASP energy ... -15.910 eV per atom

Cell lengths 5.122, 5.123, 5.479 Å; angles 90.00, 117.87, 120.01 degrees
Site moments in Bohr magnetons follow the coordinates.
Fractional coordinates of all 10 atoms:
O 0.919 0.270 0.818  0.04
O 0.919 0.110 0.304  0.07
O 0.186 0.896 0.817  0.03
O 0.545 0.630 0.817  0.03
O 0.511 0.382 0.304  0.07
O 0.192 0.791 0.304  0.07
Mg 0.429 0.705 0.136  0.00
Mg 0.431 0.206 0.638  0.00
W 0.020 0.001 0.023  -0.11
Fe 0.007 0.494 0.502  3.73

8.
The following is a SCAN calculation of a crystal of AlCoPt2 relaxed with PBEsol, from Alexandria via LeMat-Bulk.

Magnetic moment ... 2.1 μB per formula unit
SG ... Cm, No. 8
VASP energy ... -42.005 eV per atom

Cell lengths 2.756, 4.479, 4.737 Å; angles 105.45, 106.91, 90.00 degrees
Site moments in Bohr magnetons follow the coordinates.
Fractional coordinates of all 4 atoms:
Pt 0.764 0.294 0.528  0.14
Pt 0.987 0.952 0.974  0.14
Al 0.511 0.471 0.023  -0.01
Co 0.238 0.782 0.475  1.88

9.
The following is a SCAN calculation of a crystal of K2ZnSi relaxed with PBEsol, from Alexandria via LeMat-Bulk.

Magnetic moment ... 0.0 μB per formula unit
SG ... Cm, No. 8
VASP energy ... -10.067 eV per atom

Cell lengths 4.333, 5.878, 6.047 Å; angles 118.96, 110.99, 90.00 degrees
Fractional coordinates of all 4 atoms:
K 0.788 0.288 0.575
K 0.968 0.968 0.937
Si 0.582 0.583 0.164
Zn 0.162 0.661 0.324

10.
The following is a SCAN calculation of a crystal of NiPb2Au relaxed with PBEsol, from Alexandria via LeMat-Bulk.

Distance to the lowest polymorph of the same formula ... 0.070 eV/atom
Magnetic moment ... 0.0 μB per formula unit
SG ... P2/m, No. 10
VASP energy ... -58.945 eV per atom

Cell lengths 3.377, 3.376, 7.157 Å; angles 90.00, 89.30, 90.00 degrees
Fractional coordinates of all 4 atoms:
Pb 0.999 0.000 0.274
Pb 0.001 0.000 0.726
Ni 0.500 0.500 0.500
Au 0.500 0.500 0.000

11.
The following is a SCAN calculation of a crystal of LaGe2SI relaxed with PBEsol, from Alexandria via LeMat-Bulk.

Magnetic moment ... 0.8 μB per formula unit
SG ... P4/mmm, No. 123
VASP energy ... -24.688 eV per atom

Cell lengths 5.733, 5.733, 5.861 Å; angles 90.00, 90.00, 90.00 degrees
Site moments in Bohr magnetons follow the coordinates.
Fractional coordinates of all 5 atoms:
Ge 0.000 0.500 0.000  -0.06
Ge 0.500 0.000 0.000  -0.06
S 0.500 0.500 0.500  0.69
I 0.000 0.000 0.500  -0.02
La 0.000 0.000 0.000  0.00

12.
The following is a SCAN calculation of a crystal of Cs2ErCuCl6 relaxed with PBEsol, from Alexandria via LeMat-Bulk.

Magnetic moment ... 0.1 μB per formula unit
SG ... Fm-3m, No. 225
VASP energy ... -20.945 eV per atom

Cell lengths 7.218, 7.218, 7.218 Å; angles 60.00, 60.00, 60.00 degrees
Site moments in Bohr magnetons follow the coordinates.
Fractional coordinates of all 10 atoms:
Cl 0.746 0.746 0.254  0.00
Cl 0.254 0.746 0.254  0.00
Cl 0.746 0.254 0.746  0.00
Cl 0.254 0.746 0.746  0.00
Cl 0.254 0.254 0.746  0.00
Cl 0.746 0.254 0.254  0.00
Cs 0.250 0.250 0.250  0.00
Cs 0.750 0.750 0.750  0.00
Cu 0.500 0.500 0.500  0.07
Er 0.000 0.000 0.000  0.00

13.
The following is a SCAN calculation of a crystal of MoPtRh2 relaxed with PBEsol, from Alexandria via LeMat-Bulk.

Distance to the lowest polymorph of the same formula ... 0.068 eV/atom
Magnetic moment ... 0.0 μB per formula unit
SG ... C2/m, No. 12
VASP energy ... -43.353 eV per atom

Cell lengths 2.698, 4.708, 4.737 Å; angles 99.45, 90.00, 106.65 degrees
Fractional coordinates of all 4 atoms:
Pt 0.500 0.000 0.000
Rh 0.747 0.494 0.744
Rh 0.253 0.506 0.256
Mo 0.000 0.000 0.500

14.
The following is a SCAN calculation of a crystal of Ba2MnRh relaxed with PBEsol, from Alexandria via LeMat-Bulk.

Distance to the lowest polymorph of the same formula ... 0.261 eV/atom
Magnetic moment ... 4.8 μB per formula unit
SG ... I-4m2, No. 119
VASP energy ... -32.471 eV per atom

Cell lengths 5.244, 5.244, 5.231 Å; angles 120.08, 120.08, 90.00 degrees
Site moments in Bohr magnetons follow the coordinates.
Fractional coordinates of all 4 atoms:
Ba 0.000 0.000 0.000  -0.05
Ba 0.750 0.250 0.500  -0.01
Rh 0.250 0.750 0.500  0.28
Mn 0.500 0.500 0.000  4.36

15.
The following is a SCAN calculation of a crystal of SrLi2W relaxed with PBEsol, from Alexandria via LeMat-Bulk.

Distance to the lowest polymorph of the same formula ... 0.116 eV/atom
Magnetic moment ... 0.6 μB per formula unit
SG ... P4/mmm, No. 123
VASP energy ... -23.117 eV per atom

Cell lengths 2.850, 5.105, 5.105 Å; angles 90.00, 90.00, 90.00 degrees
Site moments in Bohr magnetons follow the coordinates.
Fractional coordinates of all 4 atoms:
Li 0.000 0.000 0.500  0.01
Li 0.000 0.500 0.000  0.01
W 0.500 0.000 0.000  0.51
Sr 0.500 0.500 0.500  -0.03

16.
The following is a SCAN calculation of a crystal of Zn2HgOs relaxed with PBEsol, from Alexandria via LeMat-Bulk.

Magnetic moment ... 0.0 μB per formula unit
SG ... Pmmm, No. 47
VASP energy ... -41.441 eV per atom

Cell lengths 2.787, 3.850, 5.735 Å; angles 90.00, 90.00, 90.00 degrees
Fractional coordinates of all 4 atoms:
Os 0.500 0.500 0.500
Hg 0.500 0.500 0.000
Zn 0.000 0.000 0.284
Zn 0.000 0.000 0.716

17.
The following is a SCAN calculation of a crystal of Re3Tc2 relaxed with PBEsol, from Alexandria via LeMat-Bulk.

Magnetic moment ... 0.0 μB per formula unit
SG ... R-3m, No. 166
VASP energy ... -56.640 eV per atom

Cell lengths 2.733, 2.733, 11.256 Å; angles 83.03, 83.03, 60.00 degrees
Fractional coordinates of all 5 atoms:
Re 0.799 0.799 0.602
Re 0.000 0.000 0.000
Re 0.201 0.201 0.398
Tc 0.400 0.400 0.800
Tc 0.600 0.600 0.200

18.
The following is a SCAN calculation of a crystal of LaTa2Ag relaxed with PBEsol, from Alexandria via LeMat-Bulk.

Distance to the lowest polymorph of the same formula ... 0.000 eV/atom
Magnetic moment ... 0.0 μB per formula unit
SG ... R-3m, No. 166
VASP energy ... -51.268 eV per atom

Cell lengths 2.933, 2.933, 10.834 Å; angles 82.22, 82.22, 60.00 degrees
Fractional coordinates of all 4 atoms:
Ta 0.241 0.241 0.276
Ta 0.759 0.759 0.724
La 0.000 0.000 0.000
Ag 0.500 0.500 0.500

19.
The following is a SCAN calculation of a crystal of KYAs2 relaxed with PBEsol, from Alexandria via LeMat-Bulk.

Distance to the lowest polymorph of the same formula ... 0.000 eV/atom
Magnetic moment ... 0.0 μB per formula unit
SG ... R-3m, No. 166
VASP energy ... -19.882 eV per atom

Cell lengths 4.339, 4.339, 7.622 Å; angles 73.46, 73.46, 60.00 degrees
Fractional coordinates of all 4 atoms:
As 0.272 0.272 0.185
As 0.728 0.728 0.815
K 0.500 0.500 0.500
Y 0.000 0.000 0.000

20.
The following is a SCAN calculation of a crystal of LaMg2Sc relaxed with PBEsol, from Alexandria via LeMat-Bulk.

Magnetic moment ... 0.2 μB per formula unit
SG ... Cmmm, No. 65
VASP energy ... -16.829 eV per atom

Cell lengths 3.281, 5.763, 5.763 Å; angles 107.96, 90.00, 90.00 degrees
Site moments in Bohr magnetons follow the coordinates.
Fractional coordinates of all 4 atoms:
Mg 0.000 0.500 0.000  0.00
Mg 0.000 0.000 0.500  0.00
Sc 0.500 0.000 0.000  -0.02
La 0.500 0.500 0.500  -0.11

21.
The following is a SCAN calculation of a crystal of TlNi2Cl relaxed with PBEsol, from Alexandria via LeMat-Bulk.

Magnetic moment ... 1.3 μB per formula unit
SG ... Cmmm, No. 65
VASP energy ... -27.852 eV per atom

Cell lengths 3.131, 3.171, 7.516 Å; angles 90.00, 90.00, 119.58 degrees
Site moments in Bohr magnetons follow the coordinates.
Fractional coordinates of all 4 atoms:
Tl 0.500 0.000 0.500  -0.05
Ni 0.000 0.000 0.230  0.69
Ni 0.000 0.000 0.770  0.69
Cl 0.500 0.000 0.000  0.06

22.
The following is a SCAN calculation of a crystal of Be2SeBr relaxed with PBEsol, from Alexandria via LeMat-Bulk.

Distance to the lowest polymorph of the same formula ... 0.000 eV/atom
Magnetic moment ... 0.0 μB per formula unit
SG ... Immm, No. 71
VASP energy ... -11.983 eV per atom

Cell lengths 3.310, 4.999, 4.999 Å; angles 82.85, 70.67, 70.67 degrees
Fractional coordinates of all 4 atoms:
Be 0.000 0.729 0.271
Be 0.000 0.271 0.729
Se 0.500 0.500 0.500
Br 0.500 0.000 0.000

23.
The following is a SCAN calculation of a crystal of HfBiNO2 relaxed with PBEsol, from Alexandria via LeMat-Bulk.

Magnetic moment ... 1.2 μB per formula unit
SG ... P4/mmm, No. 123
VASP energy ... -32.358 eV per atom

Cell lengths 4.194, 4.194, 4.316 Å; angles 90.00, 90.00, 90.00 degrees
Site moments in Bohr magnetons follow the coordinates.
Fractional coordinates of all 5 atoms:
Hf 0.500 0.500 0.500  0.89
O 0.500 0.000 0.000  0.02
O 0.000 0.500 0.000  0.02
Bi 0.000 0.000 0.000  0.00
N 0.000 0.000 0.500  -0.04

24.
The following is a SCAN calculation of a crystal of GaAgGeS4 relaxed with PBEsol, from Alexandria via LeMat-Bulk.

Magnetic moment ... 0.0 μB per formula unit
SG ... P1, No. 1
VASP energy ... -15.526 eV per atom

Cell lengths 6.810, 6.772, 11.826 Å; angles 75.83, 82.96, 61.35 degrees
Fractional coordinates of all 21 atoms:
S 0.318 0.636 0.040
S 0.116 0.747 0.735
S 0.874 0.612 0.260
S 0.407 0.577 0.358
S 0.088 0.228 0.850
S 0.812 0.952 0.455
S 0.600 0.314 0.665
S 0.695 0.982 0.957
S 0.180 0.216 0.543
S 0.608 0.737 0.749
S 0.380 0.118 0.233
S 0.907 0.167 0.154
Ag 0.183 0.970 0.414
Ag 0.331 0.374 0.917
Ag 0.672 0.627 0.089
Ga 0.499 0.261 0.502
Ga 0.013 0.989 0.001
Ga 0.245 0.500 0.231
Ge 0.250 0.999 0.721
Ge 0.738 0.977 0.274
Ge 0.750 0.961 0.769

25.
The following is a SCAN calculation of a crystal of AuSeF3 relaxed with PBEsol, from Alexandria via LeMat-Bulk.

Magnetic moment ... 0.0 μB per formula unit
SG ... Pm-3m, No. 221
VASP energy ... -20.348 eV per atom

Cell lengths 4.269, 4.269, 4.269 Å; angles 90.00, 90.00, 90.00 degrees
Fractional coordinates of all 5 atoms:
F 0.000 0.000 0.500
F 0.500 0.000 0.000
F 0.000 0.500 0.000
Au 0.500 0.500 0.500
Se 0.000 0.000 0.000

26.
The following is a SCAN calculation of a crystal of LuMgTl relaxed with PBEsol, from Alexandria via LeMat-Bulk.

Magnetic moment ... 0.0 μB per formula unit
SG ... P-62m, No. 189
VASP energy ... -44.699 eV per atom

Cell lengths 4.547, 7.349, 7.349 Å; angles 120.00, 90.00, 90.00 degrees
Fractional coordinates of all 9 atoms:
Mg 0.500 0.757 0.757
Mg 0.500 0.243 0.000
Mg 0.500 0.000 0.243
Lu 0.000 0.567 0.000
Lu 0.000 0.433 0.433
Lu 0.000 0.000 0.567
Tl 0.000 0.000 0.000
Tl 0.500 0.667 0.333
Tl 0.500 0.333 0.667

27.
The following is a SCAN calculation of a crystal of LiCa3 relaxed with PBEsol, from Alexandria via LeMat-Bulk.

Distance to the lowest polymorph of the same formula ... 0.046 eV/atom
Magnetic moment ... 0.2 μB per formula unit
SG ... P4/mmm, No. 123
VASP energy ... -7.779 eV per atom

Cell lengths 4.354, 5.775, 5.775 Å; angles 90.00, 90.00, 90.00 degrees
Fractional coordinates of all 4 atoms:
Ca 0.500 0.000 0.500
Ca 0.000 0.500 0.500
Ca 0.500 0.500 0.000
Li 0.000 0.000 0.000

28.
The following is a SCAN calculation of a crystal of YTiPt3 relaxed with PBEsol, from Alexandria via LeMat-Bulk.

Distance to the lowest polymorph of the same formula ... 1.306 eV/atom
Magnetic moment ... 1.6 μB per formula unit
SG ... Pm-3m, No. 221
VASP energy ... -50.081 eV per atom

Cell lengths 4.925, 4.925, 4.925 Å; angles 90.00, 90.00, 90.00 degrees
Site moments in Bohr magnetons follow the coordinates.
Fractional coordinates of all 5 atoms:
Pt 0.500 0.000 0.000  -0.10
Pt 0.000 0.000 0.500  -0.10
Pt 0.000 0.500 0.000  -0.10
Ti 0.500 0.500 0.500  1.61
Y 0.000 0.000 0.000  -0.02